Version one
Here is a relaxed BaZr2Os crystal from Alexandria via LeMat-Bulk. Energies are from GGA-PBE.

Calculated values
- M_tot (μB per formula unit) = 0.0
- calculated volume (A^3/atom) = 34.89

Cell: 5.649 5.649 17.495 Å, 90.00 90.00 90.00°
Space group I4_1/amd (No. 141, origin choice 2)
Inequivalent atoms, fractional coordinates:
Ba1 0.000 0.250 0.375
Zr1 0.000 0.000 0.000
Os1 0.000 0.250 0.875

Version two
Here is a relaxed BaZr2Os crystal from Alexandria via LeMat-Bulk. Energies are from GGA-PBE.

Calculated values
- M_tot (μB per formula unit) = 0.0
- calculated volume (A^3/atom) = 26.00

Cell: 3.289 3.418 9.253 Å, 90.00 90.07 90.00°
Space group P2/m (No. 10)
Inequivalent atoms, fractional coordinates:
Ba1 0.000 0.000 0.000
Zr1 0.499 0.500 0.334
Os1 0.000 0.000 0.500

Version three
Here is a relaxed BaZr2Os crystal from Alexandria via LeMat-Bulk. Energies are from GGA-PBE.

Calculated values
- M_tot (μB per formula unit) = 0.0
- calculated volume (A^3/atom) = 29.91

Cell: 7.438 4.288 7.903 Å, 90.00 108.30 90.00°
Space group Cm (No. 8)
Inequivalent atoms, fractional coordinates:
Ba1 0.000 0.000 0.000
Zr1 0.206 0.000 0.621
Zr2 0.448 0.000 0.347
Os1 0.326 0.500 0.480

Verdict on stability: version one comes out at the bottom.